K3Sm2SnO6 | PBE | relaxed

```
12
Lattice="3.076 -5.327 0.000 3.076 5.327 0.000 -2.041 0.000 6.294" Properties=species:S:1:pos:R:3 pbc="T T T"
K 0.000 0.000 0.000
K 3.076 1.728 0.000
K 3.076 -1.728 0.000
Sm 2.055 3.549 3.147
Sm 2.055 -3.549 3.147
Sn 2.055 0.000 3.147
O 1.040 1.757 1.946
O 0.027 0.000 4.343
O 1.040 -1.757 1.946
O 3.070 1.757 4.348
O 4.083 0.000 1.951
O 3.070 -1.757 4.348
```

Uncorrected formation energy, eV/atom: -2.196


AuSe2S | PBE | relaxed

```
8
Lattice="-2.679 2.679 6.966 2.679 -2.679 6.966 2.679 2.679 -6.966" Properties=species:S:1:pos:R:3 pbc="T T T"
Au 0.000 0.000 0.000
Au 0.000 2.679 3.483
Se 1.339 -1.201 5.225
Se 1.477 1.339 1.742
Se 1.339 3.880 -1.742
Se 1.201 1.339 8.708
S 2.679 0.000 3.483
S 0.000 0.000 6.966
```

Uncorrected formation energy, eV/atom: 0.350


Pm3Cu9Pd2 | PBE | relaxed

```
14
Lattice="-2.126 4.386 6.357 2.126 -4.386 6.357 2.126 4.386 -6.357" Properties=species:S:1:pos:R:3 pbc="T T T"
Pm 0.000 0.000 0.000
Pm 0.000 0.000 3.902
Pm 0.000 0.000 8.812
Cu 2.126 -1.272 2.261
Cu 2.126 -1.953 4.764
Cu 2.126 1.272 2.261
Cu 0.000 2.433 1.593
Cu 0.000 4.386 0.000
Cu 2.126 1.953 4.764
Cu 0.000 3.114 4.096
Cu 0.000 6.339 1.593
Cu 0.000 5.658 4.096
Pd 2.126 2.610 0.000
Pd 0.000 1.776 6.357
```


Ta2NbGe2 | PBE | relaxed

```
10
Lattice="6.901 0.000 0.000 0.000 6.901 0.000 0.000 0.000 3.552" Properties=species:S:1:pos:R:3 pbc="T T T"
Ta 1.126 2.324 0.000
Ta 2.324 5.775 0.000
Ta 4.576 1.126 0.000
Ta 5.775 4.576 0.000
Nb 0.000 0.000 1.776
Nb 3.450 3.450 1.776
Ge 0.937 4.387 1.776
Ge 2.514 0.937 1.776
Ge 4.387 5.964 1.776
Ge 5.964 2.514 1.776
```


Li5Ga | PBE | relaxed

```
6
Lattice="3.982 -2.301 0.000 3.982 2.301 0.000 -0.015 0.000 5.517" Properties=species:S:1:pos:R:3 pbc="T T T"
Li 0.000 0.000 0.000
Li 2.652 0.000 1.507
Li 2.643 0.000 4.015
Li 5.306 0.000 1.501
Li 5.297 0.000 4.010
Ga -0.008 0.000 2.758
```

Offset from the most stable computed form, eV/atom: 0.003


LiHf3Ge | PBE | relaxed

```
5
Lattice="5.020 0.000 0.000 0.000 5.020 0.000 0.000 0.000 5.020" Properties=species:S:1:pos:R:3 pbc="T T T"
Li 0.000 0.000 0.000
Hf 0.000 2.510 2.510
Hf 2.510 0.000 2.510
Hf 2.510 2.510 0.000
Ge 2.510 2.510 2.510
```

Offset from the most stable computed form, eV/atom: 0.000


MnPt2W | PBE | relaxed

```
4
Lattice="3.850 0.000 0.000 0.000 3.850 0.000 0.000 0.000 3.998" Properties=species:S:1:pos:R:3 pbc="T T T"
Mn 0.000 0.000 0.000
Pt 0.000 1.925 1.999
Pt 1.925 0.000 1.999
W 1.925 1.925 0.000
```

Offset from the most stable computed form, eV/atom: 0.097


CaGeN3 | PBE | relaxed

```
5
Lattice="3.871 0.000 0.000 0.000 3.871 0.000 0.000 0.000 3.871" Properties=species:S:1:pos:R:3 pbc="T T T"
Ca 0.000 0.000 0.000
Ge 1.935 1.935 1.935
N 0.000 1.935 1.935
N 1.935 0.000 1.935
N 1.935 1.935 0.000
```

Uncorrected formation energy, eV/atom: 0.513


Record-wise total energy values, in Ry per atom: -0.4461, -0.2384, -0.3440, -0.6557, -0.1646, -0.4957, -0.6429, -0.4267
Record-wise M_tot values, in μB/f.u.: 0.24, 0.00, 0.00, 0.00, 0.00, 0.00, 1.10, 2.14